No. 1
MoHN2 | GGA-PBEsol | relaxed

Output
- V (Å³/cell) = 153.89
- DOS at the Fermi energy (states/eV/cell) = 5.693
- electronic total energy (hartree per atom) = -0.2818

CIF file:
```
data_MoHN2
_chemical_formula_sum 'Mo4 H4 N8'
_cell_length_a 4.238
_cell_length_b 4.238
_cell_length_c 8.569
_cell_angle_alpha 90.00
_cell_angle_beta 90.00
_cell_angle_gamma 90.00
_space_group_name_H-M_alt 'I -4 2 d'
_space_group_IT_number 122
_space_group_name_Hall 'I -4 2bw'
loop_
_atom_site_label
_atom_site_fract_x
_atom_site_fract_y
_atom_site_fract_z
Mo1 0.000 0.000 0.000
H1 0.000 0.000 0.500
N1 0.228 0.250 0.625
```


No. 2
ZrTeOs | GGA-PBEsol | relaxed

Output
- ΔE_f (raw) (eV per atom) = -0.25
- V (Å³/cell) = 55.28
- DOS at the Fermi energy (states/eV/cell) = 0.870
- electronic total energy (hartree per atom) = -0.3135

CIF file:
```
data_ZrTeOs
_chemical_formula_sum 'Zr1 Te1 Os1'
_cell_length_a 4.5056
_cell_length_b 4.5056
_cell_length_c 3.1445
_cell_angle_alpha 90.00
_cell_angle_beta 90.00
_cell_angle_gamma 120.00
_space_group_name_H-M_alt 'P -6 m 2'
_space_group_IT_number 187
_space_group_name_Hall 'P -6 2'
loop_
_atom_site_label
_atom_site_fract_x
_atom_site_fract_y
_atom_site_fract_z
Zr1 0.0000 0.0000 0.0000
Te1 0.6667 0.3333 0.5000
Os1 0.3333 0.6667 0.5000
```


No. 3
Be4SiRu | GGA-PBEsol | relaxed

Output
- ΔE_f (raw) (eV per atom) = -0.39
- V (Å³/cell) = 213.46
- DOS at the Fermi energy (states/eV/cell) = 0.671
- electronic total energy (hartree per atom) = -0.2100

CIF file:
```
data_Be4SiRu
_chemical_formula_sum 'Be16 Si4 Ru4'
_cell_length_a 5.976
_cell_length_b 5.976
_cell_length_c 5.976
_cell_angle_alpha 90.00
_cell_angle_beta 90.00
_cell_angle_gamma 90.00
_space_group_name_H-M_alt 'F -4 3 m'
_space_group_IT_number 216
_space_group_name_Hall 'F -4 2 3'
loop_
_atom_site_label
_atom_site_fract_x
_atom_site_fract_y
_atom_site_fract_z
Be1 0.125 0.125 0.125
Si1 0.250 0.250 0.750
Ru1 0.000 0.000 0.500
```


No. 4
Y2Cd | GGA-PBEsol | relaxed

Output
- formation energy from the elements (eV per formula unit) = -0.71
- V (Å³/cell) = 161.25
- DOS at the Fermi energy (states/eV/cell) = 3.429
- electronic total energy (hartree per atom) = -0.1905

CIF file:
```
data_Y2Cd
_chemical_formula_sum 'Y4 Cd2'
_cell_length_a 5.2194
_cell_length_b 5.2194
_cell_length_c 6.8349
_cell_angle_alpha 90.00
_cell_angle_beta 90.00
_cell_angle_gamma 120.00
_space_group_name_H-M_alt 'P 63/m m c'
_space_group_IT_number 194
_space_group_name_Hall '-P 6c 2c'
loop_
_atom_site_label
_atom_site_fract_x
_atom_site_fract_y
_atom_site_fract_z
Y1 0.0000 0.0000 0.0000
Y2 0.3333 0.6667 0.2500
Cd1 0.3333 0.6667 0.7500
```


No. 5
ZnAg2Au | GGA-PBEsol | relaxed

Output
- formation energy from the elements (eV per formula unit) = -0.40
- V (Å³/cell) = 127.51
- DOS at the Fermi energy (states/eV/cell) = 2.325
- electronic total energy (hartree per atom) = -0.1151

CIF file:
```
data_ZnAg2Au
_chemical_formula_sum 'Zn2 Ag4 Au2'
_cell_length_a 3.989
_cell_length_b 4.102
_cell_length_c 7.791
_cell_angle_alpha 90.00
_cell_angle_beta 90.00
_cell_angle_gamma 90.00
_space_group_name_H-M_alt 'I m m 2'
_space_group_IT_number 44
loop_
_space_group_symop_operation_xyz
'x,y,z'
'-x,-y,z'
'-x,y,z'
'x,-y,z'
'x+1/2,y+1/2,z+1/2'
'-x+1/2,-y+1/2,z+1/2'
'-x+1/2,y+1/2,z+1/2'
'x+1/2,-y+1/2,z+1/2'
loop_
_atom_site_label
_atom_site_fract_x
_atom_site_fract_y
_atom_site_fract_z
Zn1 0.000 0.000 0.000
Ag1 0.000 0.000 0.501
Ag2 0.000 0.500 0.748
Au1 0.000 0.500 0.254
```


No. 6
CdP2W | GGA-PBEsol | relaxed

Output
- ΔE to the lowest computed polymorph (eV/atom) = 0.000
- formation energy from the elements (eV per formula unit) = -0.29
- V (Å³/cell) = 201.89
- DOS at the Fermi energy (states/eV/cell) = 2.228
- electronic total energy (hartree per atom) = -0.2469

CIF file:
```
data_CdP2W
_chemical_formula_sum 'Cd3 P6 W3'
_cell_length_a 3.2381
_cell_length_b 3.2381
_cell_length_c 22.2329
_cell_angle_alpha 90.00
_cell_angle_beta 90.00
_cell_angle_gamma 120.00
_space_group_name_H-M_alt 'R -3 m'
_space_group_IT_number 166
_space_group_name_Hall '-R 3 2"'
loop_
_atom_site_label
_atom_site_fract_x
_atom_site_fract_y
_atom_site_fract_z
Cd1 0.0000 0.0000 0.0000
P1 0.0000 0.0000 0.2378
W1 0.0000 0.0000 0.5000
```


No. 7
TiBeCoF2 | GGA-PBEsol | relaxed

Output
- ΔE_f (raw) (eV per atom) = -1.10
- V (Å³/cell) = 82.99
- DOS at the Fermi energy (states/eV/cell) = 2.964
- electronic total energy (hartree per atom) = -0.2161

CIF file:
```
data_TiBeCoF2
_chemical_formula_sum 'Ti1 Be1 Co1 F2'
_cell_length_a 3.210
_cell_length_b 3.210
_cell_length_c 8.056
_cell_angle_alpha 90.00
_cell_angle_beta 90.00
_cell_angle_gamma 90.00
_space_group_name_H-M_alt 'P 4/m m m'
_space_group_IT_number 123
_space_group_name_Hall '-P 4 2'
loop_
_atom_site_label
_atom_site_fract_x
_atom_site_fract_y
_atom_site_fract_z
Ti1 0.000 0.000 0.000
Be1 0.000 0.000 0.500
Co1 0.500 0.500 0.000
F1 0.000 0.500 0.500
```


No. 8
Li2MnNi3O8 | GGA-PBEsol | relaxed

Output
- ΔE_f (raw) (eV per atom) = -1.27
- ΔE to the lowest computed polymorph (eV/atom) = 0.054
- V (Å³/cell) = 262.39
- DOS at the Fermi energy (states/eV/cell) = 10.867
- electronic total energy (hartree per atom) = -0.2414

CIF file:
```
data_Li2MnNi3O8
_chemical_formula_sum 'Li4 Mn2 Ni6 O16'
_cell_length_a 9.658
_cell_length_b 5.684
_cell_length_c 5.791
_cell_angle_alpha 90.00
_cell_angle_beta 124.39
_cell_angle_gamma 90.00
_space_group_name_H-M_alt 'C 1 2/m 1'
_space_group_IT_number 12
loop_
_space_group_symop_operation_xyz
'x,y,z'
'-x,-y,-z'
'-x,y,-z'
'x,-y,z'
'x+1/2,y+1/2,z'
'-x+1/2,-y+1/2,-z'
'-x+1/2,y+1/2,-z'
'x+1/2,-y+1/2,z'
loop_
_atom_site_label
_atom_site_fract_x
_atom_site_fract_y
_atom_site_fract_z
Li1 0.000 0.000 0.000
Li2 0.000 0.500 0.000
Mn1 0.000 0.000 0.500
Ni1 0.000 0.500 0.500
Ni2 0.250 0.250 0.500
O1 0.016 0.238 0.284
O2 0.234 0.500 0.698
O3 0.238 0.000 0.704
```


No. 9
AlCoTe | GGA-PBEsol | relaxed

Output
- ΔE_f (raw) (eV per atom) = 0.05
- V (Å³/cell) = 53.24
- DOS at the Fermi energy (states/eV/cell) = 2.486
- electronic total energy (hartree per atom) = -0.1863

CIF file:
```
data_AlCoTe
_chemical_formula_sum 'Al1 Co1 Te1'
_cell_length_a 3.3522
_cell_length_b 3.3522
_cell_length_c 5.4704
_cell_angle_alpha 90.00
_cell_angle_beta 90.00
_cell_angle_gamma 120.00
_space_group_name_H-M_alt 'P 3 m 1'
_space_group_IT_number 156
loop_
_space_group_symop_operation_xyz
'x,y,z'
'-y,x-y,z'
'-x+y,-x,z'
'-y,-x,z'
'-x+y,y,z'
'x,x-y,z'
loop_
_atom_site_label
_atom_site_fract_x
_atom_site_fract_y
_atom_site_fract_z
Al1 0.0000 0.0000 0.0000
Co1 0.3333 0.6667 0.7262
Te1 0.6667 0.3333 0.4465
```


No. 10
Nd2NCl3 | GGA-PBEsol | relaxed

Output
- ΔE_f (raw) (eV per atom) = -2.13
- V (Å³/cell) = 561.23
- DOS at the Fermi energy (states/eV/cell) = 0.000
- electronic total energy (hartree per atom) = -0.2308

CIF file:
```
data_Nd2NCl3
_chemical_formula_sum 'Nd8 N4 Cl12'
_cell_length_a 13.365
_cell_length_b 6.785
_cell_length_c 6.189
_cell_angle_alpha 90.00
_cell_angle_beta 90.00
_cell_angle_gamma 90.00
_space_group_name_H-M_alt 'P b c n'
_space_group_IT_number 60
loop_
_space_group_symop_operation_xyz
'x,y,z'
'-x,-y,-z'
'-x+1/2,-y+1/2,z+1/2'
'x+1/2,y+1/2,-z+1/2'
'x+1/2,-y+1/2,-z'
'-x+1/2,y+1/2,z'
'-x,y,-z+1/2'
'x,-y,z+1/2'
loop_
_atom_site_label
_atom_site_fract_x
_atom_site_fract_y
_atom_site_fract_z
Nd1 0.093 0.177 0.006
N1 0.000 0.007 0.750
Cl1 0.000 0.498 0.750
Cl2 0.218 0.139 0.395
```


No. 11
CrNi3 | GGA-PBEsol | relaxed

Output
- formation energy from the elements (eV per formula unit) = -0.09
- V (Å³/cell) = 83.90
- DOS at the Fermi energy (states/eV/cell) = 6.915
- electronic total energy (hartree per atom) = -0.2646

CIF file:
```
data_CrNi3
_chemical_formula_sum 'Cr2 Ni6'
_cell_length_a 3.452
_cell_length_b 3.452
_cell_length_c 7.042
_cell_angle_alpha 90.00
_cell_angle_beta 90.00
_cell_angle_gamma 90.00
_space_group_name_H-M_alt 'I 4/m m m'
_space_group_IT_number 139
_space_group_name_Hall '-I 4 2'
loop_
_atom_site_label
_atom_site_fract_x
_atom_site_fract_y
_atom_site_fract_z
Cr1 0.000 0.000 0.000
Ni1 0.000 0.000 0.500
Ni2 0.000 0.500 0.250
```


No. 12
La2NiAu | GGA-PBEsol | relaxed

Output
- formation energy from the elements (eV per formula unit) = -1.69
- V (Å³/cell) = 309.91
- DOS at the Fermi energy (states/eV/cell) = 7.668
- electronic total energy (hartree per atom) = -0.2064

CIF file:
```
data_La2NiAu
_chemical_formula_sum 'La6 Ni3 Au3'
_cell_length_a 4.0743
_cell_length_b 4.0743
_cell_length_c 21.5578
_cell_angle_alpha 90.00
_cell_angle_beta 90.00
_cell_angle_gamma 120.00
_space_group_name_H-M_alt 'R -3 m'
_space_group_IT_number 166
_space_group_name_Hall '-R 3 2"'
loop_
_atom_site_label
_atom_site_fract_x
_atom_site_fract_y
_atom_site_fract_z
La1 0.0000 0.0000 0.2417
Ni1 0.0000 0.0000 0.5000
Au1 0.0000 0.0000 0.0000
```


Number 6 is which compound? CdP2W


Which formula does entry 10 have? Nd2NCl3


What did the twelfth record say?
La2NiAu | GGA-PBEsol | relaxed

Output
- formation energy from the elements (eV per formula unit) = -1.69
- V (Å³/cell) = 309.91
- DOS at the Fermi energy (states/eV/cell) = 7.668
- electronic total energy (hartree per atom) = -0.2064

CIF file:
```
data_La2NiAu
_chemical_formula_sum 'La6 Ni3 Au3'
_cell_length_a 4.0743
_cell_length_b 4.0743
_cell_length_c 21.5578
_cell_angle_alpha 90.00
_cell_angle_beta 90.00
_cell_angle_gamma 120.00
_space_group_name_H-M_alt 'R -3 m'
_space_group_IT_number 166
_space_group_name_Hall '-R 3 2"'
loop_
_atom_site_label
_atom_site_fract_x
_atom_site_fract_y
_atom_site_fract_z
La1 0.0000 0.0000 0.2417
Ni1 0.0000 0.0000 0.5000
Au1 0.0000 0.0000 0.0000
```